Entry 1:
An optimized crystal structure of Fe2Ir3Rh4, computed with PBE.

Lattice parameters (Å, degrees): 4.674 4.674 8.074 106.85 106.85 48.33
Fractional coordinates of all 9 atoms:
Fe (0.166, 0.166, 0.222)
Fe (0.834, 0.834, 0.778)
Ir (0.167, 0.167, 0.552)
Ir (0.500, 0.500, 0.000)
Ir (0.833, 0.833, 0.448)
Rh (0.166, 0.166, 0.890)
Rh (0.500, 0.500, 0.329)
Rh (0.500, 0.500, 0.671)
Rh (0.834, 0.834, 0.110)

Calculated values
Its formation energy from the elements is -44.4 meV per atom. As for the density: 14.620 g/cm3. As for the space group: No. 12.


Entry 2:
An optimized crystal structure of Fe3Ir4Rh, computed with PBE.

Lattice parameters (Å, degrees): 8.671 5.427 4.596 90.00 90.00 90.00
Fractional coordinates of all 16 atoms:
Fe (0.000, 0.000, 0.000)
Fe (0.250, 0.000, 0.330)
Fe (0.250, 0.500, 0.339)
Fe (0.500, 0.000, 0.000)
Fe (0.750, 0.000, 0.670)
Fe (0.750, 0.500, 0.661)
Ir (0.000, 0.246, 0.500)
Ir (0.000, 0.754, 0.500)
Ir (0.250, 0.245, 0.840)
Ir (0.250, 0.755, 0.840)
Ir (0.500, 0.246, 0.500)
Ir (0.500, 0.754, 0.500)
Ir (0.750, 0.245, 0.160)
Ir (0.750, 0.755, 0.160)
Rh (0.000, 0.500, 0.000)
Rh (0.500, 0.500, 0.000)

Calculated values
Its formation energy from the elements is -27.3 meV per atom. As for the density: 15.960 g/cm3. As for the space group: No. 51.


Entry 3:
An optimized crystal structure of Fe4Ir5Rh4, computed with PBE.

Lattice parameters (Å, degrees): 7.103 7.103 7.103 94.15 94.15 148.80
Fractional coordinates of all 13 atoms:
Fe (0.150, 0.230, 0.380)
Fe (0.230, 0.850, 0.081)
Fe (0.770, 0.150, 0.919)
Fe (0.850, 0.770, 0.620)
Ir (0.000, 0.000, 0.000)
Ir (0.307, 0.455, 0.762)
Ir (0.455, 0.693, 0.148)
Ir (0.545, 0.307, 0.852)
Ir (0.693, 0.545, 0.238)
Rh (0.084, 0.617, 0.701)
Rh (0.383, 0.084, 0.467)
Rh (0.617, 0.916, 0.533)
Rh (0.916, 0.383, 0.299)

Calculated values
Its formation energy from the elements is -29.3 meV per atom. As for the density: 14.822 g/cm3. As for the space group: No. 87.


Entry 4:
An optimized crystal structure of FeIr4Rh15, computed with PBE.

Lattice parameters (Å, degrees): 3.845 3.845 19.139 90.00 90.00 90.00
Fractional coordinates of all 20 atoms:
Fe (0.000, 0.000, 0.000)
Ir (0.000, 0.000, 0.199)
Ir (0.000, 0.000, 0.400)
Ir (0.000, 0.000, 0.600)
Ir (0.000, 0.000, 0.801)
Rh (0.000, 0.500, 0.098)
Rh (0.000, 0.500, 0.299)
Rh (0.000, 0.500, 0.500)
Rh (0.000, 0.500, 0.701)
Rh (0.000, 0.500, 0.902)
Rh (0.500, 0.000, 0.098)
Rh (0.500, 0.000, 0.299)
Rh (0.500, 0.000, 0.500)
Rh (0.500, 0.000, 0.701)
Rh (0.500, 0.000, 0.902)
Rh (0.500, 0.500, 0.000)
Rh (0.500, 0.500, 0.199)
Rh (0.500, 0.500, 0.399)
Rh (0.500, 0.500, 0.601)
Rh (0.500, 0.500, 0.801)

Calculated values
Its formation energy from the elements is -14.4 meV per atom. As for the density: 13.895 g/cm3. As for the space group: No. 123.


Entry 5:
An optimized crystal structure of Fe6Ir3Rh, computed with PBE.

Lattice parameters (Å, degrees): 6.959 4.215 9.184 90.00 110.18 90.00
Fractional coordinates of all 20 atoms:
Fe (0.002, 0.250, 0.168)
Fe (0.006, 0.250, 0.670)
Fe (0.197, 0.750, 0.629)
Fe (0.198, 0.250, 0.967)
Fe (0.396, 0.250, 0.764)
Fe (0.399, 0.750, 0.435)
Fe (0.601, 0.250, 0.565)
Fe (0.604, 0.750, 0.236)
Fe (0.802, 0.750, 0.033)
Fe (0.803, 0.250, 0.371)
Fe (0.994, 0.750, 0.330)
Fe (0.998, 0.750, 0.832)
Ir (0.190, 0.750, 0.130)
Ir (0.193, 0.250, 0.469)
Ir (0.408, 0.250, 0.272)
Ir (0.592, 0.750, 0.728)
Ir (0.807, 0.750, 0.531)
Ir (0.810, 0.250, 0.870)
Rh (0.390, 0.750, 0.927)
Rh (0.610, 0.250, 0.073)

Calculated values
Its formation energy from the elements is -51.3 meV per atom. As for the density: 13.327 g/cm3. As for the space group: No. 11.


Entry 6:
An optimized crystal structure of Fe2Ir8Rh, computed with PBE.

Lattice parameters (Å, degrees): 7.131 7.131 7.131 147.51 124.54 65.76
Fractional coordinates of all 11 atoms:
Fe (0.199, 0.199, 0.000)
Fe (0.801, 0.801, 0.000)
Ir (0.055, 0.346, 0.709)
Ir (0.203, 0.000, 0.203)
Ir (0.345, 0.845, 0.500)
Ir (0.363, 0.654, 0.709)
Ir (0.637, 0.346, 0.291)
Ir (0.655, 0.155, 0.500)
Ir (0.797, 0.000, 0.797)
Ir (0.945, 0.654, 0.291)
Rh (0.500, 0.500, 0.000)

Calculated values
Its formation energy from the elements is 138.6 meV per atom. As for the density: 18.355 g/cm3. As for the space group: No. 71.


Entry 7:
An optimized crystal structure of FeIrRh2, computed with PBE.

Lattice parameters (Å, degrees): 8.785 8.785 8.785 17.80 17.80 17.80
Fractional coordinates of all 4 atoms:
Fe (0.000, 0.000, 0.000)
Ir (0.747, 0.747, 0.747)
Rh (0.253, 0.253, 0.253)
Rh (0.500, 0.500, 0.500)

Calculated values
Its formation energy from the elements is 14.7 meV per atom. As for the density: 13.625 g/cm3. As for the space group: No. 160.


Entry 8:
An optimized crystal structure of FeIr2Rh, computed with PBE.

Lattice parameters (Å, degrees): 2.711 3.791 5.403 90.00 90.00 90.00
Fractional coordinates of all 4 atoms:
Fe (0.000, 0.000, 0.000)
Ir (0.000, 0.000, 0.496)
Ir (0.500, 0.500, 0.247)
Rh (0.500, 0.500, 0.755)

Calculated values
Its formation energy from the elements is -37.1 meV per atom. As for the density: 16.246 g/cm3. As for the space group: No. 25.


Entry 9:
An optimized crystal structure of Fe6Ir2Rh5, computed with PBE.

Lattice parameters (Å, degrees): 8.786 15.000 2.712 90.00 90.00 90.00
Fractional coordinates of all 26 atoms:
Fe (0.059, 0.077, 0.000)
Fe (0.074, 0.367, 0.000)
Fe (0.190, 0.623, 0.500)
Fe (0.310, 0.123, 0.500)
Fe (0.426, 0.867, 0.000)
Fe (0.441, 0.577, 0.000)
Fe (0.559, 0.423, 0.000)
Fe (0.574, 0.133, 0.000)
Fe (0.690, 0.877, 0.500)
Fe (0.810, 0.377, 0.500)
Fe (0.926, 0.633, 0.000)
Fe (0.941, 0.923, 0.000)
Ir (0.168, 0.786, 0.000)
Ir (0.332, 0.286, 0.000)
Ir (0.668, 0.714, 0.000)
Ir (0.832, 0.214, 0.000)
Rh (0.000, 0.500, 0.500)
Rh (0.088, 0.224, 0.500)
Rh (0.200, 0.947, 0.500)
Rh (0.300, 0.447, 0.500)
Rh (0.412, 0.724, 0.500)
Rh (0.500, 0.000, 0.500)
Rh (0.588, 0.276, 0.500)
Rh (0.700, 0.553, 0.500)
Rh (0.800, 0.053, 0.500)
Rh (0.912, 0.776, 0.500)

Calculated values
Its formation energy from the elements is 121.2 meV per atom. As for the density: 11.467 g/cm3. As for the space group: No. 55.


Entry 10:
An optimized crystal structure of FeIrRh2, computed with PBE.

Lattice parameters (Å, degrees): 4.658 4.658 2.722 90.00 90.00 109.14
Fractional coordinates of all 4 atoms:
Fe (0.000, 0.000, 0.000)
Ir (0.500, 0.500, 0.000)
Rh (0.000, 0.500, 0.500)
Rh (0.500, 0.000, 0.500)

Calculated values
Its formation energy from the elements is -37.8 meV per atom. As for the density: 13.510 g/cm3. As for the space group: No. 65.


Entry 11:
An optimized crystal structure of FeIr3Rh, computed with PBE.

Lattice parameters (Å, degrees): 6.997 6.997 8.452 90.00 90.00 157.82
Fractional coordinates of all 10 atoms:
Fe (0.226, 0.774, 0.750)
Fe (0.774, 0.226, 0.250)
Ir (0.106, 0.894, 0.250)
Ir (0.333, 0.667, 0.006)
Ir (0.333, 0.667, 0.494)
Ir (0.667, 0.333, 0.506)
Ir (0.667, 0.333, 0.994)
Ir (0.894, 0.106, 0.750)
Rh (0.447, 0.553, 0.250)
Rh (0.553, 0.447, 0.750)

Calculated values
Its formation energy from the elements is 279.9 meV per atom. As for the density: 15.637 g/cm3. As for the space group: No. 63.


Entry 12:
An optimized crystal structure of Fe2IrRh, computed with PBE.

Lattice parameters (Å, degrees): 2.807 2.807 6.697 90.00 90.00 90.00
Fractional coordinates of all 4 atoms:
Fe (0.000, 0.000, 0.000)
Fe (0.500, 0.500, 0.219)
Ir (0.000, 0.000, 0.465)
Rh (0.500, 0.500, 0.751)

Calculated values
Its formation energy from the elements is 25.1 meV per atom. As for the density: 12.805 g/cm3. As for the space group: No. 99.


Entry 13:
An optimized crystal structure of FeIrRh, computed with PBE.

Lattice parameters (Å, degrees): 7.036 6.789 2.685 84.03 73.66 22.30
Fractional coordinates of all 3 atoms:
Fe (0.000, 0.000, 0.000)
Ir (0.340, 0.340, 0.660)
Rh (0.660, 0.660, 0.340)

Calculated values
Its formation energy from the elements is 144.7 meV per atom. As for the density: 13.815 g/cm3. As for the space group: No. 42.


Entry 14:
An optimized crystal structure of FeIr2Rh2, computed with PBE.

Lattice parameters (Å, degrees): 5.100 5.100 5.100 124.75 124.75 81.96
Fractional coordinates of all 5 atoms:
Fe (0.000, 0.000, 0.000)
Ir (0.250, 0.750, 0.500)
Ir (0.750, 0.250, 0.500)
Rh (0.347, 0.347, 0.000)
Rh (0.653, 0.653, 0.000)

Calculated values
Its formation energy from the elements is 883.4 meV per atom. As for the density: 12.452 g/cm3. As for the space group: No. 139.


Entry 15:
An optimized crystal structure of Fe2IrRh, computed with PBE.

Lattice parameters (Å, degrees): 2.663 3.916 5.154 90.00 100.63 90.00
Fractional coordinates of all 4 atoms:
Fe (0.000, 0.000, 0.000)
Fe (0.336, 0.500, 0.253)
Ir (0.867, 0.000, 0.483)
Rh (0.475, 0.500, 0.765)

Calculated values
Its formation energy from the elements is 43.5 meV per atom. As for the density: 12.789 g/cm3. As for the space group: No. 6.


Entry 16:
An optimized crystal structure of Fe2Ir4Rh5, computed with PBE.

Lattice parameters (Å, degrees): 6.859 16.363 2.745 90.00 90.00 90.00
Fractional coordinates of all 22 atoms:
Fe (0.039, 0.188, 0.000)
Fe (0.461, 0.688, 0.000)
Fe (0.539, 0.312, 0.000)
Fe (0.961, 0.812, 0.000)
Ir (0.084, 0.650, 0.000)
Ir (0.213, 0.925, 0.000)
Ir (0.287, 0.425, 0.000)
Ir (0.416, 0.150, 0.000)
Ir (0.584, 0.850, 0.000)
Ir (0.713, 0.575, 0.000)
Ir (0.787, 0.075, 0.000)
Ir (0.916, 0.350, 0.000)
Rh (0.000, 0.500, 0.500)
Rh (0.135, 0.064, 0.500)
Rh (0.234, 0.285, 0.500)
Rh (0.266, 0.785, 0.500)
Rh (0.365, 0.564, 0.500)
Rh (0.500, 0.000, 0.500)
Rh (0.635, 0.436, 0.500)
Rh (0.734, 0.215, 0.500)
Rh (0.766, 0.715, 0.500)
Rh (0.865, 0.936, 0.500)

Calculated values
Its formation energy from the elements is 61.2 meV per atom. As for the density: 15.039 g/cm3. As for the space group: No. 55.


Entry 17:
An optimized crystal structure of FeIr2Rh, computed with PBE.

Lattice parameters (Å, degrees): 4.651 4.651 2.717 90.00 90.00 108.91
Fractional coordinates of all 4 atoms:
Fe (0.000, 0.000, 0.000)
Ir (0.000, 0.500, 0.500)
Ir (0.500, 0.000, 0.500)
Rh (0.500, 0.500, 0.000)

Calculated values
Its formation energy from the elements is -12.2 meV per atom. As for the density: 16.224 g/cm3. As for the space group: No. 65.


Entry 18:
An optimized crystal structure of FeIr2Rh9, computed with PBE.

Lattice parameters (Å, degrees): 3.837 3.837 11.488 90.00 90.00 90.00
Fractional coordinates of all 12 atoms:
Fe (0.000, 0.000, 0.000)
Ir (0.000, 0.000, 0.332)
Ir (0.000, 0.000, 0.668)
Rh (0.000, 0.500, 0.165)
Rh (0.000, 0.500, 0.500)
Rh (0.000, 0.500, 0.835)
Rh (0.500, 0.000, 0.165)
Rh (0.500, 0.000, 0.500)
Rh (0.500, 0.000, 0.835)
Rh (0.500, 0.500, 0.000)
Rh (0.500, 0.500, 0.333)
Rh (0.500, 0.500, 0.667)

Calculated values
Its formation energy from the elements is -16.4 meV per atom. As for the density: 13.413 g/cm3. As for the space group: No. 123.


Entry 19:
An optimized crystal structure of FeIr5Rh2, computed with PBE.

Lattice parameters (Å, degrees): 5.443 10.869 3.833 90.00 90.00 90.00
Fractional coordinates of all 16 atoms:
Fe (0.000, 0.000, 0.000)
Fe (0.500, 0.500, 0.000)
Ir (0.000, 0.500, 0.000)
Ir (0.001, 0.250, 0.000)
Ir (0.246, 0.876, 0.500)
Ir (0.254, 0.376, 0.500)
Ir (0.499, 0.750, 0.000)
Ir (0.500, 0.000, 0.000)
Ir (0.501, 0.250, 0.000)
Ir (0.746, 0.624, 0.500)
Ir (0.754, 0.124, 0.500)
Ir (0.999, 0.750, 0.000)
Rh (0.248, 0.124, 0.500)
Rh (0.252, 0.624, 0.500)
Rh (0.748, 0.376, 0.500)
Rh (0.752, 0.876, 0.500)

Calculated values
Its formation energy from the elements is -17.2 meV per atom. As for the density: 17.907 g/cm3. As for the space group: No. 55.


Entry 20:
An optimized crystal structure of Fe2Ir5Rh4, computed with PBE.

Lattice parameters (Å, degrees): 6.749 6.749 8.735 95.47 95.47 23.17
Fractional coordinates of all 11 atoms:
Fe (0.141, 0.141, 0.320)
Fe (0.859, 0.859, 0.680)
Ir (0.000, 0.000, 0.500)
Ir (0.096, 0.096, 0.040)
Ir (0.470, 0.470, 0.224)
Ir (0.530, 0.530, 0.776)
Ir (0.904, 0.904, 0.960)
Rh (0.238, 0.238, 0.850)
Rh (0.325, 0.325, 0.425)
Rh (0.675, 0.675, 0.575)
Rh (0.762, 0.762, 0.150)

Calculated values
Its formation energy from the elements is 67.5 meV per atom. As for the density: 15.821 g/cm3. As for the space group: No. 12.


Entry 21:
An optimized crystal structure of Fe4IrRh2, computed with PBE.

Lattice parameters (Å, degrees): 5.726 5.726 5.726 131.49 131.49 71.04
Fractional coordinates of all 7 atoms:
Fe (0.000, 0.500, 0.500)
Fe (0.250, 0.750, 0.500)
Fe (0.500, 0.000, 0.500)
Fe (0.750, 0.250, 0.500)
Ir (0.000, 0.000, 0.000)
Rh (0.357, 0.357, 0.000)
Rh (0.643, 0.643, 0.000)

Calculated values
Its formation energy from the elements is 603.7 meV per atom. As for the density: 10.001 g/cm3. As for the space group: No. 139.


Entry 22:
An optimized crystal structure of FeIr2Rh, computed with PBE.

Lattice parameters (Å, degrees): 4.668 4.668 4.668 131.69 131.69 70.72
Fractional coordinates of all 4 atoms:
Fe (0.000, 0.000, 0.000)
Ir (0.250, 0.750, 0.500)
Ir (0.500, 0.500, 0.000)
Rh (0.750, 0.250, 0.500)

Calculated values
Its formation energy from the elements is -60.0 meV per atom. As for the density: 16.237 g/cm3. As for the space group: No. 119.